Density functional theory data (PBE-GGA) for a relaxed structure of ZrGeSb.

a = 6.779 Å, b = 6.779 Å, c = 6.779 Å
α = 90.00°, β = 90.00°, γ = 90.00°
Space group F-43m (No. 216)
Inequivalent atoms, fractional coordinates:
1 Zr 0.000 0.000 0.000 (multiplicity 4)
2 Ge 0.250 0.250 0.750 (multiplicity 4)
3 Sb 0.250 0.250 0.250 (multiplicity 4)

For the magnetic moment, the calculation gives 0.04 μB per formula unit. The value obtained for the theoretical density is 6.1 g/cm³. For the total energy, the calculation gives -5.732 eV per atom.